Record 1
A plane-wave DFT calculation with GGA-PBEsol was carried out for a relaxed MgCr3Bi crystal.

Lattice parameters (Å, degrees): 4.882 4.882 4.882 90.00 90.00 90.00
Sites, in units of the cell vectors:
Mg (0.000, 0.000, 0.000)
Cr (0.000, 0.000, 0.500)
Cr (0.000, 0.500, 0.000)
Cr (0.500, 0.000, 0.000)
Bi (0.500, 0.500, 0.500)

Output
- Energy of formation from the pure elements: 1.62 eV per atom
- Space-group type: Pm-3m (221)
- E above lowest polymorph: 91 meV/atom

Record 2
A plane-wave DFT calculation with GGA-PBEsol was carried out for a relaxed MgCrBiO5 crystal.

Lattice parameters (Å, degrees): 5.309 11.493 7.831 90.00 113.24 90.00
Sites, in units of the cell vectors:
Mg (0.053, 0.079, 0.176)
Mg (0.053, 0.421, 0.676)
Mg (0.947, 0.579, 0.324)
Mg (0.947, 0.921, 0.824)
Cr (0.308, 0.647, 0.027)
Cr (0.308, 0.853, 0.527)
Cr (0.692, 0.147, 0.473)
Cr (0.692, 0.353, 0.973)
Bi (0.435, 0.101, 0.823)
Bi (0.435, 0.399, 0.323)
Bi (0.565, 0.601, 0.677)
Bi (0.565, 0.899, 0.177)
O (0.182, 0.714, 0.487)
O (0.182, 0.786, 0.987)
O (0.197, 0.571, 0.169)
O (0.197, 0.929, 0.669)
O (0.248, 0.574, 0.827)
O (0.248, 0.926, 0.327)
O (0.260, 0.027, 0.015)
O (0.260, 0.473, 0.515)
O (0.355, 0.178, 0.363)
O (0.355, 0.322, 0.863)
O (0.645, 0.678, 0.137)
O (0.645, 0.822, 0.637)
O (0.740, 0.527, 0.485)
O (0.740, 0.973, 0.985)
O (0.752, 0.074, 0.673)
O (0.752, 0.426, 0.173)
O (0.803, 0.071, 0.331)
O (0.803, 0.429, 0.831)
O (0.818, 0.214, 0.013)
O (0.818, 0.286, 0.513)

Output
- Space-group type: P2_1/c (14)
- Uncorrected formation energy: -1888 meV/atom

Record 3
A plane-wave DFT calculation with GGA-PBEsol was carried out for a relaxed Na3CrBi crystal.

Lattice parameters (Å, degrees): 5.466 5.466 5.466 90.00 90.00 90.00
Sites, in units of the cell vectors:
Na (0.000, 0.000, 0.500)
Na (0.000, 0.500, 0.000)
Na (0.500, 0.000, 0.000)
Cr (0.000, 0.000, 0.000)
Bi (0.500, 0.500, 0.500)

Output
- Energy of formation from the pure elements: 0.79 eV per atom
- Space-group type: Pm-3m (221)

Record 4
A plane-wave DFT calculation with GGA-PBEsol was carried out for a relaxed NaCrBi2 crystal.

Lattice parameters (Å, degrees): 10.268 10.268 10.268 152.58 152.58 39.16
Sites, in units of the cell vectors:
Na (0.000, 0.000, 0.000)
Na (0.750, 0.250, 0.500)
Cr (0.250, 0.750, 0.500)
Cr (0.500, 0.500, 0.000)
Bi (0.164, 0.625, 0.039)
Bi (0.375, 0.414, 0.539)
Bi (0.586, 0.125, 0.961)
Bi (0.875, 0.836, 0.461)

Output
- Energy of formation from the pure elements: 0.39 eV per atom
- Space-group type: I-42d (122)

Record 5
A plane-wave DFT calculation with GGA-PBEsol was carried out for a relaxed NaTa2CrBi crystal.

Lattice parameters (Å, degrees): 4.633 4.633 5.150 90.00 90.00 90.00
Sites, in units of the cell vectors:
Na (0.000, 0.000, 0.000)
Ta (0.000, 0.500, 0.500)
Ta (0.500, 0.000, 0.500)
Cr (0.500, 0.500, 0.500)
Bi (0.500, 0.500, 0.000)

Output
- Energy of formation from the pure elements: 1.08 eV per atom
- Space-group type: P4/mmm (123)

Record 6
A plane-wave DFT calculation with GGA-PBEsol was carried out for a relaxed NbCr3Bi crystal.

Lattice parameters (Å, degrees): 4.715 4.715 4.715 90.00 90.00 90.00
Sites, in units of the cell vectors:
Nb (0.000, 0.000, 0.000)
Cr (0.000, 0.000, 0.500)
Cr (0.000, 0.500, 0.000)
Cr (0.500, 0.000, 0.000)
Bi (0.500, 0.500, 0.500)

Output
- Energy of formation from the pure elements: 1.50 eV per atom
- Space-group type: Pm-3m (221)

Record 7
A plane-wave DFT calculation with GGA-PBEsol was carried out for a relaxed RbNb2CrBi crystal.

Lattice parameters (Å, degrees): 4.773 4.773 5.284 90.00 90.00 90.00
Sites, in units of the cell vectors:
Rb (0.000, 0.000, 0.000)
Nb (0.000, 0.500, 0.500)
Nb (0.500, 0.000, 0.500)
Cr (0.500, 0.500, 0.500)
Bi (0.500, 0.500, 0.000)

Output
- Energy of formation from the pure elements: 1.13 eV per atom
- Space-group type: P4/mmm (123)

Record 8
A plane-wave DFT calculation with GGA-PBEsol was carried out for a relaxed RbCrNi2Bi crystal.

Lattice parameters (Å, degrees): 4.630 4.630 5.072 90.00 90.00 90.00
Sites, in units of the cell vectors:
Rb (0.000, 0.000, 0.000)
Cr (0.000, 0.000, 0.500)
Ni (0.000, 0.500, 0.500)
Ni (0.500, 0.000, 0.500)
Bi (0.500, 0.500, 0.000)

Output
- Energy of formation from the pure elements: 1.40 eV per atom
- Space-group type: P4/mmm (123)